Entry from Alexandria: a relaxed Nd2Y3Ho5 crystal (GGA-PBE).

Cell and atoms, written as extended XYZ:
```
20
Lattice="8.405 1.617 -3.934 0.313 8.557 -4.027 -1.759 -1.963 10.821" Properties=species:S:1:pos:R:3 pbc="T T T"
Ho 0.807 3.054 0.592
Ho 3.433 6.095 0.095
Ho 4.997 7.860 -3.196
Ho 7.491 2.640 0.173
Ho 6.152 5.157 2.269
Ho -0.532 5.572 2.687
Ho 1.962 0.352 6.056
Ho 3.526 2.117 2.766
Ho 2.396 4.849 -2.632
Ho 4.563 3.362 5.493
Y 5.850 4.708 -2.087
Y 1.109 3.504 4.947
Y 0.551 6.873 5.536
Y 6.408 1.338 -2.676
Y -0.050 6.202 -0.526
Y 7.009 2.010 3.387
Nd 4.108 2.692 -0.411
Nd 2.851 5.520 3.272
Nd 5.215 -0.068 4.926
Nd 1.744 8.280 -2.065
```

- Total magnetic moment: 0.00 μB/atom
- Density of states at the Fermi level: 1.848 states/eV per atom
- Raw total energy: -4.9847 eV per atom
- Volume: 661 Å³/cell

Entry from Alexandria: a relaxed CoOsSe2 crystal (GGA-PBE).

Cell and atoms, written as extended XYZ:
```
4
Lattice="0.000 3.104 3.104 3.104 0.000 3.104 3.104 3.104 0.000" Properties=species:S:1:pos:R:3 pbc="T T T"
Se 4.656 4.656 4.656
Se 1.552 1.552 1.552
Co 0.000 0.000 0.000
Os 3.104 3.104 3.104
```

- Raw formation energy: 489 meV/atom
- Total magnetic moment: 0.41 μB/atom
- Energy relative to the lowest polymorph listed for this composition: 541 meV per atom
- Density of states at the Fermi level: 0.673 states/eV per atom
- Raw total energy: -5.8375 eV per atom
- Volume: 60 Å³/cell

Entry from Alexandria: a relaxed KBaMg2Pt crystal (GGA-PBE).

Cell and atoms, written as extended XYZ:
```
5
Lattice="-2.548 0.179 4.705 0.916 -5.229 0.695 5.177 1.273 2.755" Properties=species:S:1:pos:R:3 pbc="T T T"
Mg 0.458 -2.614 0.347
Mg -1.274 0.089 2.352
K 1.772 -1.888 4.078
Pt 0.000 0.000 0.000
Ba 2.588 0.637 1.378
```

- Total magnetic moment: 0.00 μB/atom
- Density of states at the Fermi level: 0.463 states/eV per atom
- Raw total energy: -2.7447 eV per atom
- Volume: 172 Å³/cell

Entry from Alexandria: a relaxed CrInAs crystal (GGA-PBE).

Cell and atoms, written as extended XYZ:
```
3
Lattice="5.600 0.049 -0.053 4.646 3.126 -0.032 0.953 0.274 3.065" Properties=species:S:1:pos:R:3 pbc="T T T"
As 9.899 3.067 0.033
Cr 4.337 1.330 1.918
In 7.209 2.227 0.945
```

- Total magnetic moment: 0.47 μB/atom
- Energy relative to the lowest polymorph listed for this composition: 116 meV per atom
- Density of states at the Fermi level: 0.520 states/eV per atom
- Raw total energy: -5.5381 eV per atom
- Volume: 53 Å³/cell